! VIr2I PBE optimized geometry; values from VASP
&SYSTEM
  ibrav = 0, nat = 4, ntyp = 3
/
ATOMIC_SPECIES
I 126.90 I.upf
Ir 192.22 Ir.upf
V 50.94 V.upf
ATOMIC_POSITIONS crystal
I 0.5000 0.5000 0.5000
Ir 0.2500 0.2500 0.2500
Ir 0.7500 0.7500 0.7500
V 0.0000 0.0000 0.0000
CELL_PARAMETERS angstrom
0.0000 3.2459 3.2459
3.2459 0.0000 3.2459
3.2459 3.2459 0.0000
! Symmetry: Fm-3m
! Volume (Å³/cell): 68.4
! VASP energy (eV per atom): -6.2208
! Energy above the most stable polymorph in this dataset (meV per atom): 112.6
! Density of states at the Fermi level (states/eV per atom): 2.0001